Entry 1:
InTcP2S | PBE | optimized geometry

Properties
Size of the total moment in μB per formula unit: 0.00
Final energy in Ha/atom: -0.195
Energy above the most stable polymorph in this dataset in eV/atom: 0.000
Symmetry: No. 123

Cell lengths 4.5800, 4.5800, 5.6550 Å; angles 90.00, 90.00, 90.00 degrees
Last column: nearest neighbours and their distance in Å.
Sites, in units of the cell vectors:
In 0.5000 0.5000 0.5000  4 S 3.24
S 0.0000 0.0000 0.5000  2 Tc 2.83
Tc 0.0000 0.0000 0.0000  4 P 2.29
P 0.5000 0.0000 0.0000  2 Tc 2.29
P 0.0000 0.5000 0.0000  2 Tc 2.29

---

Entry 2:
InTcP2S | PBE | optimized geometry

Properties
Size of the total moment in μB per formula unit: 0.04
Final energy in Ha/atom: -0.142
Energy above the most stable polymorph in this dataset in eV/atom: 1.443
Symmetry: No. 123

Cell lengths 4.8698, 4.8698, 4.8810 Å; angles 90.00, 90.00, 90.00 degrees
Last column: nearest neighbours and their distance in Å.
Sites, in units of the cell vectors:
P 0.5000 0.0000 0.0000  2 In 2.43
P 0.0000 0.5000 0.0000  2 In 2.43
Tc 0.5000 0.5000 0.5000  4 S 3.44, 8 P 3.45
S 0.0000 0.0000 0.5000  2 In 2.44
In 0.0000 0.0000 0.0000  4 P 2.43, 2 S 2.44

---

Entry 3:
InTePS2 | PBE | optimized geometry

Properties
Size of the total moment in μB per formula unit: 0.00
Final energy in Ha/atom: -0.123
Energy above the most stable polymorph in this dataset in eV/atom: 0.000
Symmetry: No. 123

Cell lengths 5.1305, 5.1305, 5.2179 Å; angles 90.00, 90.00, 90.00 degrees
Last column: nearest neighbours and their distance in Å.
Sites, in units of the cell vectors:
In 0.5000 0.5000 0.5000  4 P 3.63, 8 S 3.66
Te 0.0000 0.0000 0.0000  4 S 2.57, 2 P 2.61
S 0.0000 0.5000 0.0000  2 Te 2.57
S 0.5000 0.0000 0.0000  2 Te 2.57
P 0.0000 0.0000 0.5000  2 Te 2.61

---

Entry 4:
Th6InP2S3 | PBE | optimized geometry

Properties
Size of the total moment in μB per formula unit: 0.00
Final energy in Ha/atom: -0.267
Symmetry: No. 12

Cell lengths 4.1661, 8.3222, 9.2763 Å; angles 101.72, 102.98, 90.00 degrees
Last column: nearest neighbours and their distance in Å.
Sites, in units of the cell vectors:
Th 0.6750 0.0888 0.3499  3 S 2.89-2.97, 2 P 2.93, 1 In 3.09
Th 0.0035 0.2747 0.0071  3 S 2.81-2.93, 1 P 2.93, 2 In 3.08
Th 0.9965 0.7253 0.9929  3 S 2.81-2.93, 1 P 2.93, 2 In 3.08
Th 0.6669 0.5798 0.3338  3 P 2.90-2.93, 3 S 2.95-2.96
Th 0.3331 0.4202 0.6662  3 P 2.90-2.93, 3 S 2.95-2.96
Th 0.3250 0.9112 0.6501  3 S 2.89-2.97, 2 P 2.93, 1 In 3.09
In 0.5000 0.0000 0.0000  6 Th 3.08-3.09
P 0.1692 0.3338 0.3384  6 Th 2.90-2.93
P 0.8308 0.6662 0.6616  6 Th 2.90-2.93
S 0.1618 0.8292 0.3236  6 Th 2.89-2.97
S 0.8382 0.1708 0.6764  6 Th 2.89-2.97
S 0.5000 0.5000 0.0000  6 Th 2.81-2.95

---

Entry 5:
TlInP2S8 | PBE | optimized geometry

Properties
Size of the total moment in μB per formula unit: 2.07
Final energy in Ha/atom: -0.154
Symmetry: No. 148

Cell lengths 6.0530, 6.0530, 9.8178 Å; angles 72.05, 72.05, 60.00 degrees
Last column: nearest neighbours and their distance in Å.
Sites, in units of the cell vectors:
S 0.6941 0.0636 0.8294  1 P 2.06
S 0.5871 0.3059 0.1706  1 P 2.06
S 0.8183 0.8183 0.5452  1 P 2.03
S 0.1817 0.1817 0.4548  1 P 2.03
S 0.9364 0.5871 0.1706  1 P 2.06
S 0.0636 0.4129 0.8294  1 P 2.06
S 0.3059 0.9364 0.1706  1 P 2.06
S 0.4129 0.6941 0.8294  1 P 2.06
P 0.7444 0.7444 0.7668  4 S 2.03-2.06
P 0.2556 0.2556 0.2332  4 S 2.03-2.06
Tl 0.5000 0.5000 0.5000  12 S 3.52-3.58
In 0.0000 0.0000 0.0000  6 S 2.68

---

Entry 6:
TlInP2S | PBE | optimized geometry

Properties
Size of the total moment in μB per formula unit: 1.47
Final energy in Ha/atom: -0.121
Energy above the most stable polymorph in this dataset in eV/atom: 0.000
Symmetry: No. 123

Cell lengths 5.1434, 5.1434, 5.2114 Å; angles 90.00, 90.00, 90.00 degrees
Last column: nearest neighbours and their distance in Å.
Sites, in units of the cell vectors:
In 0.0000 0.0000 0.0000  4 P 2.57, 2 S 2.61
S 0.0000 0.0000 0.5000  2 In 2.61
Tl 0.5000 0.5000 0.5000  4 S 3.64, 8 P 3.66
P 0.0000 0.5000 0.0000  2 In 2.57
P 0.5000 0.0000 0.0000  2 In 2.57

---

Entry 7:
Tm6InP2S3 | PBE | optimized geometry

Properties
Size of the total moment in μB per formula unit: 0.00
Final energy in Ha/atom: -0.218
Symmetry: No. 12

Cell lengths 3.9059, 8.0588, 8.8830 Å; angles 102.86, 102.70, 90.00 degrees
Last column: nearest neighbours and their distance in Å.
Sites, in units of the cell vectors:
Tm 0.3275 0.9047 0.6551  3 S 2.70-2.88, 2 P 2.77, 1 In 2.91
Tm 0.9983 0.7296 0.9966  3 S 2.70-2.86, 1 P 2.80, 2 In 2.92
Tm 0.6725 0.0953 0.3449  3 S 2.70-2.88, 2 P 2.77, 1 In 2.91
Tm 0.6706 0.5773 0.3412  3 P 2.73-2.75, 3 S 2.83-2.88
Tm 0.0017 0.2704 0.0034  3 S 2.70-2.86, 1 P 2.80, 2 In 2.92
Tm 0.3294 0.4227 0.6588  3 P 2.73-2.75, 3 S 2.83-2.88
P 0.8325 0.6640 0.6650  6 Tm 2.73-2.80
P 0.1675 0.3360 0.3350  6 Tm 2.73-2.80
S 0.8322 0.1691 0.6644  6 Tm 2.70-2.88
S 0.1678 0.8309 0.3356  6 Tm 2.70-2.88
S 0.5000 0.5000 0.0000  6 Tm 2.70-2.88
In 0.5000 0.0000 0.0000  6 Tm 2.91-2.92

---

Entry 8:
VInPS2 | PBE | optimized geometry

Properties
Size of the total moment in μB per formula unit: 0.00
Final energy in Ha/atom: -0.192
Energy above the most stable polymorph in this dataset in eV/atom: 0.000
Symmetry: No. 123

Cell lengths 4.5783, 4.5783, 4.7848 Å; angles 90.00, 90.00, 90.00 degrees
Last column: nearest neighbours and their distance in Å.
Sites, in units of the cell vectors:
In 0.5000 0.5000 0.5000  4 P 3.24, 8 S 3.31
S 0.5000 0.0000 0.0000  2 V 2.29
S 0.0000 0.5000 0.0000  2 V 2.29
V 0.0000 0.0000 0.0000  4 S 2.29, 2 P 2.39
P 0.0000 0.0000 0.5000  2 V 2.39

---

Entry 9:
VInPS2 | PBE | optimized geometry

Properties
Size of the total moment in μB per formula unit: 2.11
Final energy in Ha/atom: -0.153
Energy above the most stable polymorph in this dataset in eV/atom: 1.043
Symmetry: No. 123

Cell lengths 4.9940, 4.9940, 4.9277 Å; angles 90.00, 90.00, 90.00 degrees
Last column: nearest neighbours and their distance in Å.
Sites, in units of the cell vectors:
P 0.0000 0.0000 0.5000  2 In 2.46
V 0.5000 0.5000 0.5000  8 S 3.51, 4 P 3.53
S 0.0000 0.5000 0.0000  2 In 2.50
S 0.5000 0.0000 0.0000  2 In 2.50
In 0.0000 0.0000 0.0000  2 P 2.46, 4 S 2.50

---

Entry 10:
InP2WS | PBE | optimized geometry

Properties
Size of the total moment in μB per formula unit: 0.00
Final energy in Ha/atom: -0.216
Symmetry: No. 123

Cell lengths 4.7834, 4.7834, 4.7402 Å; angles 90.00, 90.00, 90.00 degrees
Last column: nearest neighbours and their distance in Å.
Sites, in units of the cell vectors:
P 0.5000 0.0000 0.0000  2 W 2.39
P 0.0000 0.5000 0.0000  2 W 2.39
W 0.0000 0.0000 0.0000  2 S 2.37, 4 P 2.39
In 0.5000 0.5000 0.5000  8 P 3.37, 4 S 3.38
S 0.0000 0.0000 0.5000  2 W 2.37

---

Entry 11:
YInP2S | PBE | optimized geometry

Properties
Size of the total moment in μB per formula unit: 1.19
Final energy in Ha/atom: -0.172
Energy above the most stable polymorph in this dataset in eV/atom: 0.000
Symmetry: No. 123

Cell lengths 5.3673, 5.3673, 5.2160 Å; angles 90.00, 90.00, 90.00 degrees
Last column: nearest neighbours and their distance in Å.
Sites, in units of the cell vectors:
S 0.0000 0.0000 0.5000  2 Y 2.61
Y 0.0000 0.0000 0.0000  2 S 2.61, 4 P 2.68
P 0.0000 0.5000 0.0000  2 Y 2.68
P 0.5000 0.0000 0.0000  2 Y 2.68
In 0.5000 0.5000 0.5000  8 P 3.74, 4 S 3.80

---

Entry 12:
YInPS2 | PBE | optimized geometry

Properties
Size of the total moment in μB per formula unit: 0.00
Final energy in Ha/atom: -0.173
Energy above the most stable polymorph in this dataset in eV/atom: 0.073
Symmetry: No. 123

Cell lengths 4.9574, 4.9436, 4.9574 Å; angles 90.00, 90.00, 90.00 degrees
Last column: nearest neighbours and their distance in Å.
Sites, in units of the cell vectors:
P 0.0000 0.5000 0.0000  2 In 2.47
Y 0.5000 0.5000 0.5000  8 S 3.50, 4 P 3.51
S 0.5000 0.0000 0.0000  2 In 2.48
S 0.0000 0.0000 0.5000  2 In 2.48
In 0.0000 0.0000 0.0000  2 P 2.47, 4 S 2.48